PBE Er5Sc4Tl, optimized geometry; volume = 293.3 Å³/f.u.; VASP energy = -4.791 eV per atom; calculated formation energy = 0.260 eV per atom
1.0
-4.957 4.957 2.984
4.957 -4.957 2.984
4.957 4.957 -2.984
Er Sc Tl
5 4 1
Direct
0.000 0.000 0.000 Er
0.426 0.522 0.611 Er
0.522 0.911 0.096 Er
0.816 0.426 0.904 Er
0.911 0.816 0.389 Er
0.116 0.534 0.309 Sc
0.225 0.807 0.691 Sc
0.534 0.225 0.418 Sc
0.807 0.116 0.582 Sc
0.471 0.471 0.000 Tl

PBE Er3Sc3Tl2, optimized geometry; volume = 218.7 Å³/f.u.; VASP energy = -4.780 eV per atom; relative energy among the computed polymorphs = 68 meV per atom; calculated formation energy = -0.103 eV per atom
1.0
2.399 -5.719 0.000
2.399 5.719 0.000
0.000 0.000 15.940
Er Sc Tl
6 6 4
Direct
0.057 0.943 0.604 Er
0.057 0.943 0.896 Er
0.303 0.697 0.750 Er
0.697 0.303 0.250 Er
0.943 0.057 0.104 Er
0.943 0.057 0.396 Er
0.370 0.630 0.542 Sc
0.370 0.630 0.958 Sc
0.412 0.588 0.250 Sc
0.588 0.412 0.750 Sc
0.630 0.370 0.042 Sc
0.630 0.370 0.458 Sc
0.230 0.770 0.119 Tl
0.230 0.770 0.381 Tl
0.770 0.230 0.619 Tl
0.770 0.230 0.881 Tl

PBE Er3Sc2Tl6, optimized geometry; volume = 307.4 Å³/f.u.; VASP energy = -3.695 eV per atom; calculated formation energy = -0.009 eV per atom
1.0
-2.319 2.319 14.287
2.319 -2.319 14.287
2.319 2.319 -14.287
Er Sc Tl
3 2 6
Direct
0.000 0.000 0.000 Er
0.199 0.199 0.000 Er
0.801 0.801 0.000 Er
0.450 0.450 0.000 Sc
0.550 0.550 0.000 Sc
0.114 0.614 0.500 Tl
0.305 0.305 0.000 Tl
0.386 0.886 0.500 Tl
0.614 0.114 0.500 Tl
0.695 0.695 0.000 Tl
0.886 0.386 0.500 Tl

PBE ErSc2Tl4, optimized geometry; volume = 189.6 Å³/f.u.; VASP energy = -3.994 eV per atom; calculated formation energy = -0.181 eV per atom
1.0
-3.661 3.661 3.536
3.661 -3.661 3.536
3.661 3.661 -3.536
Er Sc Tl
1 2 4
Direct
0.000 0.000 0.000 Er
0.000 0.500 0.500 Sc
0.500 0.000 0.500 Sc
0.000 0.000 0.500 Tl
0.000 0.500 0.000 Tl
0.500 0.000 0.000 Tl
0.500 0.500 0.500 Tl

PBE Er4Sc7Tl, optimized geometry; volume = 335.0 Å³/f.u.; VASP energy = -5.251 eV per atom; calculated formation energy = 0.160 eV per atom
1.0
5.648 -2.686 0.000
5.648 2.686 0.000
-2.265 0.000 11.043
Er Sc Tl
4 7 1
Direct
0.078 0.078 0.263 Er
0.361 0.361 0.212 Er
0.639 0.639 0.788 Er
0.922 0.922 0.737 Er
0.136 0.136 0.975 Sc
0.254 0.254 0.613 Sc
0.384 0.384 0.896 Sc
0.500 0.500 0.500 Sc
0.616 0.616 0.104 Sc
0.746 0.746 0.387 Sc
0.864 0.864 0.025 Sc
0.000 0.000 0.500 Tl

PBE Er3Sc3Tl2, optimized geometry; volume = 204.1 Å³/f.u.; VASP energy = -4.848 eV per atom; relative energy among the computed polymorphs = 0 meV per atom; calculated formation energy = -0.171 eV per atom
1.0
4.678 0.000 0.000
0.000 4.683 0.000
0.000 0.000 9.316
Er Sc Tl
3 3 2
Direct
0.000 0.000 0.000 Er
0.000 0.000 0.500 Er
0.500 0.500 0.000 Er
0.500 0.000 0.256 Sc
0.500 0.000 0.744 Sc
0.500 0.500 0.500 Sc
0.000 0.500 0.254 Tl
0.000 0.500 0.746 Tl

PBE Er3ScTl2, optimized geometry; volume = 166.4 Å³/f.u.; VASP energy = -4.340 eV per atom; calculated formation energy = -0.214 eV per atom
1.0
-3.193 8.166 3.190
3.193 -8.166 3.190
3.193 8.166 -3.190
Er Sc Tl
6 2 4
Direct
0.176 0.748 0.923 Er
0.250 0.250 0.000 Er
0.324 0.248 0.572 Er
0.676 0.752 0.428 Er
0.750 0.750 0.000 Er
0.824 0.252 0.077 Er
0.250 0.750 0.500 Sc
0.750 0.250 0.500 Sc
0.134 0.257 0.391 Tl
0.366 0.757 0.123 Tl
0.634 0.243 0.877 Tl
0.866 0.743 0.609 Tl

PBE ErTm2ScTl2, optimized geometry; volume = 161.3 Å³/f.u.; VASP energy = -4.346 eV per atom; calculated formation energy = -0.251 eV per atom
1.0
4.919 0.000 0.000
0.000 9.669 0.000
0.000 0.000 6.784
Er Tm Sc Tl
2 4 2 4
Direct
0.000 0.046 0.000 Er
0.000 0.954 0.500 Er
0.000 0.310 0.389 Tm
0.000 0.690 0.889 Tm
0.500 0.454 0.102 Tm
0.500 0.546 0.602 Tm
0.500 0.196 0.714 Sc
0.500 0.804 0.214 Sc
0.000 0.365 0.843 Tl
0.000 0.635 0.343 Tl
0.500 0.122 0.269 Tl
0.500 0.878 0.769 Tl

PBE Er2TmScTl2, optimized geometry; volume = 161.9 Å³/f.u.; VASP energy = -4.362 eV per atom; calculated formation energy = -0.252 eV per atom
1.0
4.926 0.000 0.000
0.000 9.699 0.000
0.000 0.000 6.778
Er Tm Sc Tl
4 2 2 4
Direct
0.000 0.046 0.000 Er
0.000 0.954 0.500 Er
0.500 0.191 0.286 Er
0.500 0.809 0.786 Er
0.500 0.455 0.899 Tm
0.500 0.545 0.399 Tm
0.000 0.306 0.613 Sc
0.000 0.694 0.113 Sc
0.000 0.379 0.167 Tl
0.000 0.621 0.667 Tl
0.500 0.137 0.742 Tl
0.500 0.863 0.242 Tl

PBE Y2ErScTl4, optimized geometry; volume = 210.6 Å³/f.u.; VASP energy = -4.481 eV per atom; calculated formation energy = -0.320 eV per atom
1.0
2.647 1.528 8.674
-2.647 1.528 8.674
0.000 -3.057 8.674
Y Er Sc Tl
2 1 1 4
Direct
0.249 0.249 0.249 Y
0.751 0.751 0.751 Y
0.000 0.000 0.000 Er
0.500 0.500 0.500 Sc
0.126 0.126 0.126 Tl
0.376 0.376 0.376 Tl
0.624 0.624 0.624 Tl
0.874 0.874 0.874 Tl

PBE YErScTl, optimized geometry; volume = 106.8 Å³/f.u.; VASP energy = -5.108 eV per atom; relative energy among the computed polymorphs = 0 meV per atom; calculated formation energy = -0.177 eV per atom
1.0
4.698 0.000 0.000
0.000 4.765 0.000
0.000 0.000 4.769
Y Er Sc Tl
1 1 1 1
Direct
0.000 0.000 0.000 Y
0.000 0.500 0.500 Er
0.500 0.000 0.500 Sc
0.500 0.500 0.000 Tl

PBE YEr2ScTl2, optimized geometry; volume = 164.3 Å³/f.u.; VASP energy = -4.711 eV per atom; calculated formation energy = -0.268 eV per atom
1.0
4.922 0.000 0.000
0.000 9.701 0.000
0.000 0.000 6.883
Y Er Sc Tl
2 4 2 4
Direct
0.000 0.050 0.000 Y
0.000 0.950 0.500 Y
0.000 0.310 0.394 Er
0.000 0.690 0.894 Er
0.500 0.451 0.103 Er
0.500 0.549 0.603 Er
0.500 0.197 0.711 Sc
0.500 0.803 0.211 Sc
0.000 0.366 0.842 Tl
0.000 0.634 0.342 Tl
0.500 0.120 0.273 Tl
0.500 0.880 0.773 Tl

- The highest volume belongs to which entry?
  Er4Sc7Tl